No. 1
A relaxed LiURe crystal. Source: OQMD, functional PBE.

Calculated values
**Volume**: 59.4 Å³/f.u.

a = 4.380 Å, b = 4.380 Å, c = 4.380 Å
α = 60.00°, β = 60.00°, γ = 60.00°
Positions (direct):
Re 0.750 0.750 0.750
Li 0.250 0.250 0.250
U 0.000 0.000 0.000

***

No. 2
A relaxed LiURe crystal. Source: OQMD, functional PBE.

Calculated values
**Volume**: 58.8 Å³/f.u.

a = 4.364 Å, b = 4.364 Å, c = 4.364 Å
α = 60.00°, β = 60.00°, γ = 60.00°
Positions (direct):
Li 0.750 0.750 0.750
U 0.250 0.250 0.250
Re 0.000 0.000 0.000

***

No. 3
A relaxed LiRe2W crystal. Source: OQMD, functional PBE.

Calculated values
**Volume**: 57.3 Å³/f.u.

a = 4.328 Å, b = 4.328 Å, c = 4.328 Å
α = 60.00°, β = 60.00°, γ = 60.00°
Positions (direct):
W 0.250 0.250 0.250
Re 0.000 0.000 0.000
Re 0.750 0.750 0.750
Li 0.500 0.500 0.500

***

No. 4
A relaxed LiYRe2 crystal. Source: OQMD, functional PBE.

Calculated values
**Volume**: 66.6 Å³/f.u.

a = 4.551 Å, b = 4.551 Å, c = 4.551 Å
α = 60.00°, β = 60.00°, γ = 60.00°
Positions (direct):
Y 0.250 0.250 0.250
Re 0.000 0.000 0.000
Re 0.750 0.750 0.750
Li 0.500 0.500 0.500

***

No. 5
A relaxed LiZr2Re crystal. Source: OQMD, functional PBE.

Calculated values
**Volume**: 73.1 Å³/f.u.

a = 4.364 Å, b = 4.364 Å, c = 8.863 Å
α = 90.00°, β = 90.00°, γ = 120.00°
Positions (direct):
Zr 0.667 0.333 0.590
Zr 0.667 0.333 0.910
Zr 0.333 0.667 0.090
Zr 0.333 0.667 0.410
Re 0.000 0.000 0.250
Re 0.000 0.000 0.750
Li 0.667 0.333 0.250
Li 0.333 0.667 0.750

***

No. 6
A relaxed LiZr2Re crystal. Source: OQMD, functional PBE.

Calculated values
**Volume**: 89.0 Å³/f.u.

a = 4.249 Å, b = 4.249 Å, c = 11.389 Å
α = 90.00°, β = 90.00°, γ = 120.00°
Positions (direct):
Re 0.000 0.000 0.000
Re 0.000 0.000 0.500
Zr 0.333 0.667 0.594
Zr 0.667 0.333 0.406
Zr 0.333 0.667 0.906
Zr 0.667 0.333 0.094
Li 0.667 0.333 0.750
Li 0.333 0.667 0.250

***

Final energy / eV/atom: -7.3435; -7.8292; -9.6554; -8.0476; -7.4254; -7.4039
Total moment / Bohr magnetons per cell: 0.13; 0.01; 0.00; 0.00; 0.00; 0.21